[1]
Density functional theory data (PBE) for CeSm2Ti after structural relaxation.

Cell: 3.3337 3.3337 35.3176 Å, 90.00 90.00 120.00°
Fractional positions:
Ce: 0.0000 0.0000 0.0000
Ce: 0.3333 0.6667 0.6667
Ce: 0.6667 0.3333 0.3333
Sm: 0.0000 0.0000 0.4160
Sm: 0.0000 0.0000 0.5840
Sm: 0.3333 0.6667 0.0827
Sm: 0.3333 0.6667 0.2506
Sm: 0.6667 0.3333 0.7494
Sm: 0.6667 0.3333 0.9173
Ti: 0.0000 0.0000 0.5000
Ti: 0.3333 0.6667 0.1667
Ti: 0.6667 0.3333 0.8333

## Properties
* N(E_F): 6.797 states/eV/f.u.
* ΔE_f: 0.45 eV per atom


[2]
Density functional theory data (PBE) for KAc4Pb4 after structural relaxation.

Cell: 11.1729 11.1729 6.7712 Å, 90.00 90.00 90.00°
Fractional positions:
K: 0.2500 0.2500 0.2500
K: 0.7500 0.7500 0.7500
Ac: 0.1083 0.6333 0.1417
Ac: 0.1333 0.8917 0.6417
Ac: 0.3667 0.6083 0.6417
Ac: 0.3917 0.8667 0.1417
Ac: 0.6083 0.1333 0.8583
Ac: 0.6333 0.3917 0.3583
Ac: 0.8667 0.1083 0.3583
Ac: 0.8917 0.3667 0.8583
Pb: 0.0553 0.5911 0.6521
Pb: 0.0911 0.9447 0.1521
Pb: 0.4089 0.5553 0.1521
Pb: 0.4447 0.9089 0.6521
Pb: 0.5553 0.0911 0.3479
Pb: 0.5911 0.4447 0.8479
Pb: 0.9089 0.0553 0.8479
Pb: 0.9447 0.4089 0.3479

## Properties
* N(E_F): 7.843 states/eV/f.u.
* ΔE_f: -0.29 eV per atom


[3]
Density functional theory data (PBE) for TeMo6 after structural relaxation.

Cell: 3.7274 3.7274 18.3295 Å, 90.00 90.00 90.00°
Fractional positions:
Te: 0.0000 0.0000 0.0000
Te: 0.5000 0.5000 0.5000
Mo: 0.0000 0.0000 0.2519
Mo: 0.0000 0.0000 0.7481
Mo: 0.0000 0.5000 0.1250
Mo: 0.0000 0.5000 0.3750
Mo: 0.0000 0.5000 0.6250
Mo: 0.0000 0.5000 0.8750
Mo: 0.5000 0.0000 0.1250
Mo: 0.5000 0.0000 0.3750
Mo: 0.5000 0.0000 0.6250
Mo: 0.5000 0.0000 0.8750
Mo: 0.5000 0.5000 0.2481
Mo: 0.5000 0.5000 0.7519

## Properties
* relative energy among the computed polymorphs: 0.40 eV/f.u.
* N(E_F): 5.088 states/eV/f.u.


[4]
Density functional theory data (PBE) for Ag2OsBr after structural relaxation.

Cell: 5.4396 5.4396 2.6372 Å, 90.00 90.00 90.00°
Fractional positions:
Ag: 0.0000 0.5000 0.0000
Ag: 0.5000 0.0000 0.0000
Os: 0.0000 0.0000 0.5000
Br: 0.5000 0.5000 0.5000

## Properties
* relative energy among the computed polymorphs: 1.41 eV/f.u.
* N(E_F): 3.374 states/eV/f.u.